# 1
DFT (PBE) results for a relaxed Y5Ho3Bi8 crystal.

Values from the calculation:
Energy in eV/atom: -5.6929
Crystal system: trigonal
Space group: R-3m, No. 166
Magnetic moment in μB per formula unit: 0.00
Calculated formation energy in meV per atom: -874
D(E_F) in states/eV per atom: 0.19

a = 8.950 Å, b = 8.950 Å, c = 8.950 Å
α = 60.00°, β = 60.00°, γ = 60.00°
Sites, in units of the cell vectors:
Y  0.000  0.000  0.000
Y  0.000  0.500  0.500
Y  0.500  0.000  0.500
Y  0.500  0.500  0.000
Y  0.500  0.500  0.500
Ho  0.000  0.000  0.500
Ho  0.000  0.500  0.000
Ho  0.500  0.000  0.000
Bi  0.249  0.249  0.249
Bi  0.249  0.750  0.750
Bi  0.250  0.250  0.751
Bi  0.250  0.751  0.250
Bi  0.750  0.249  0.750
Bi  0.750  0.750  0.249
Bi  0.751  0.250  0.250
Bi  0.751  0.751  0.751

# 2
DFT (PBE) results for a relaxed Y5Ho2Bi4 crystal.

Values from the calculation:
Energy in eV/atom: -5.4131
Crystal system: monoclinic
Space group: C2/m, No. 12
Magnetic moment in μB per formula unit: 0.00
Calculated formation energy in meV per atom: -231
D(E_F) in states/eV per atom: 0.95

a = 12.718 Å, b = 12.718 Å, c = 8.129 Å
α = 91.14°, β = 91.14°, γ = 15.90°
Sites, in units of the cell vectors:
Y  0.000  0.000  0.000
Y  0.328  0.328  0.512
Y  0.361  0.361  0.950
Y  0.639  0.639  0.050
Y  0.672  0.672  0.488
Ho  0.233  0.233  0.823
Ho  0.767  0.767  0.177
Bi  0.099  0.099  0.737
Bi  0.450  0.450  0.692
Bi  0.550  0.550  0.308
Bi  0.901  0.901  0.263

# 3
DFT (PBE) results for a relaxed YHo3Bi2 crystal.

Values from the calculation:
Energy in eV/atom: -5.2423
Crystal system: tetragonal
Space group: P-4m2, No. 115
Magnetic moment in μB per formula unit: 0.00
Calculated formation energy in meV per atom: -582
D(E_F) in states/eV per atom: 0.78
Excess energy over the best structure of this formula in the dataset in meV per atom: 0

a = 4.554 Å, b = 4.554 Å, c = 8.570 Å
α = 90.00°, β = 90.00°, γ = 90.00°
Sites, in units of the cell vectors:
Y  0.000  0.000  0.000
Ho  0.000  0.500  0.344
Ho  0.500  0.000  0.656
Ho  0.500  0.500  0.000
Bi  0.000  0.500  0.715
Bi  0.500  0.000  0.285

# 4
DFT (PBE) results for a relaxed YHo3Bi2 crystal.

Values from the calculation:
Energy in eV/atom: -5.1391
Crystal system: monoclinic
Space group: C2/m, No. 12
Magnetic moment in μB per formula unit: 0.00
Calculated formation energy in meV per atom: -479
D(E_F) in states/eV per atom: 1.05
Excess energy over the best structure of this formula in the dataset in meV per atom: 103

a = 9.510 Å, b = 9.510 Å, c = 9.989 Å
α = 113.03°, β = 113.03°, γ = 26.20°
Sites, in units of the cell vectors:
Y  0.110  0.110  0.109
Y  0.890  0.890  0.891
Ho  0.056  0.056  0.670
Ho  0.312  0.312  0.109
Ho  0.360  0.360  0.521
Ho  0.640  0.640  0.479
Ho  0.688  0.688  0.891
Ho  0.944  0.944  0.330
Bi  0.252  0.252  0.717
Bi  0.492  0.492  0.158
Bi  0.508  0.508  0.842
Bi  0.748  0.748  0.283

# 5
DFT (PBE) results for a relaxed YHo5Bi6 crystal.

Values from the calculation:
Energy in eV/atom: -5.2331
Crystal system: monoclinic
Space group: C2/m, No. 12
Magnetic moment in μB per formula unit: 0.00
Calculated formation energy in meV per atom: -847
D(E_F) in states/eV per atom: 0.18

a = 7.736 Å, b = 7.736 Å, c = 7.734 Å
α = 99.60°, β = 99.60°, γ = 119.99°
Sites, in units of the cell vectors:
Y  0.000  0.000  0.000
Ho  0.166  0.834  0.500
Ho  0.333  0.667  0.000
Ho  0.500  0.500  0.500
Ho  0.667  0.333  0.000
Ho  0.834  0.166  0.500
Bi  0.084  0.418  0.251
Bi  0.251  0.251  0.750
Bi  0.418  0.084  0.251
Bi  0.582  0.916  0.749
Bi  0.749  0.749  0.250
Bi  0.916  0.582  0.749

# 6
DFT (PBE) results for a relaxed Y2Ho2Bi3 crystal.

Values from the calculation:
Energy in eV/atom: -5.4087
Crystal system: monoclinic
Space group: C2/m, No. 12
Magnetic moment in μB per formula unit: 0.00
Calculated formation energy in meV per atom: -591
D(E_F) in states/eV per atom: 0.48

a = 7.447 Å, b = 7.447 Å, c = 7.477 Å
α = 98.56°, β = 98.56°, γ = 34.71°
Sites, in units of the cell vectors:
Y  0.123  0.123  0.358
Y  0.877  0.877  0.642
Ho  0.383  0.383  0.111
Ho  0.617  0.617  0.889
Bi  0.240  0.240  0.752
Bi  0.500  0.500  0.500
Bi  0.760  0.760  0.248

# 7
DFT (PBE) results for a relaxed YHo2Bi4 crystal.

Values from the calculation:
Energy in eV/atom: -5.0383
Crystal system: orthorhombic
Space group: Cmcm, No. 63
Magnetic moment in μB per formula unit: 0.00
Calculated formation energy in meV per atom: -589
D(E_F) in states/eV per atom: 0.46

a = 6.080 Å, b = 6.080 Å, c = 17.070 Å
α = 90.00°, β = 90.00°, γ = 136.63°
Sites, in units of the cell vectors:
Y  0.056  0.944  0.750
Y  0.944  0.056  0.250
Ho  0.339  0.661  0.574
Ho  0.339  0.661  0.926
Ho  0.661  0.339  0.074
Ho  0.661  0.339  0.426
Bi  0.000  0.000  0.000
Bi  0.000  0.000  0.500
Bi  0.348  0.652  0.750
Bi  0.352  0.648  0.122
Bi  0.352  0.648  0.378
Bi  0.648  0.352  0.622
Bi  0.648  0.352  0.878
Bi  0.652  0.348  0.250

# 8
DFT (PBE) results for a relaxed Y5Ho2Bi5 crystal.

Values from the calculation:
Energy in eV/atom: -5.6881
Crystal system: monoclinic
Space group: C2/m, No. 12
Magnetic moment in μB per formula unit: 0.00
Calculated formation energy in meV per atom: -615
D(E_F) in states/eV per atom: 0.71

a = 7.636 Å, b = 7.636 Å, c = 12.774 Å
α = 110.52°, β = 110.52°, γ = 33.80°
Sites, in units of the cell vectors:
Y  0.000  0.000  0.000
Y  0.163  0.163  0.532
Y  0.214  0.214  0.838
Y  0.786  0.786  0.162
Y  0.837  0.837  0.468
Ho  0.450  0.450  0.711
Ho  0.550  0.550  0.289
Bi  0.197  0.197  0.284
Bi  0.382  0.382  0.067
Bi  0.500  0.500  0.500
Bi  0.618  0.618  0.933
Bi  0.803  0.803  0.716

# 9
DFT (PBE) results for a relaxed Y4HoBi5 crystal.

Values from the calculation:
Energy in eV/atom: -5.8705
Crystal system: tetragonal
Space group: I4/mmm, No. 139
Magnetic moment in μB per formula unit: 0.00
Calculated formation energy in meV per atom: -887
D(E_F) in states/eV per atom: 0.12

a = 16.145 Å, b = 16.145 Å, c = 16.145 Å
α = 164.06°, β = 164.06°, γ = 22.62°
Sites, in units of the cell vectors:
Y  0.100  0.100  0.000
Y  0.300  0.300  0.000
Y  0.700  0.700  0.000
Y  0.900  0.900  0.000
Ho  0.500  0.500  0.000
Bi  0.000  0.000  0.000
Bi  0.200  0.200  0.000
Bi  0.400  0.400  0.000
Bi  0.600  0.600  0.000
Bi  0.800  0.800  0.000

# 10
DFT (PBE) results for a relaxed YHo3Bi3 crystal.

Values from the calculation:
Energy in eV/atom: -5.1946
Crystal system: trigonal
Space group: R-3, No. 148
Magnetic moment in μB per formula unit: 0.00
Calculated formation energy in meV per atom: -646
D(E_F) in states/eV per atom: 0.80
Excess energy over the best structure of this formula in the dataset in meV per atom: 71

a = 8.172 Å, b = 8.172 Å, c = 8.172 Å
α = 67.49°, β = 67.49°, γ = 67.49°
Sites, in units of the cell vectors:
Y  0.166  0.166  0.166
Y  0.834  0.834  0.834
Ho  0.165  0.674  0.418
Ho  0.326  0.582  0.835
Ho  0.418  0.165  0.674
Ho  0.582  0.835  0.326
Ho  0.674  0.418  0.165
Ho  0.835  0.326  0.582
Bi  0.023  0.417  0.805
Bi  0.195  0.977  0.583
Bi  0.417  0.805  0.023
Bi  0.583  0.195  0.977
Bi  0.805  0.023  0.417
Bi  0.977  0.583  0.195

# 11
DFT (PBE) results for a relaxed YHo2Bi3 crystal.

Values from the calculation:
Energy in eV/atom: -5.4006
Crystal system: orthorhombic
Space group: Immm, No. 71
Magnetic moment in μB per formula unit: 0.00
Calculated formation energy in meV per atom: -857
D(E_F) in states/eV per atom: 0.21

a = 7.741 Å, b = 7.741 Å, c = 7.741 Å
α = 146.43°, β = 131.84°, γ = 59.98°
Sites, in units of the cell vectors:
Y  0.000  0.000  0.000
Ho  0.334  0.334  0.000
Ho  0.666  0.666  0.000
Bi  0.168  0.668  0.500
Bi  0.500  0.000  0.500
Bi  0.832  0.332  0.500

# 12
DFT (PBE) results for a relaxed YHo8Bi6 crystal.

Values from the calculation:
Energy in eV/atom: -4.9247
Crystal system: trigonal
Space group: R-3, No. 148
Magnetic moment in μB per formula unit: 0.00
Calculated formation energy in meV per atom: -500
D(E_F) in states/eV per atom: 0.64

a = 10.764 Å, b = 10.764 Å, c = 10.764 Å
α = 41.45°, β = 41.45°, γ = 41.45°
Sites, in units of the cell vectors:
Y  0.000  0.000  0.000
Ho  0.122  0.789  0.453
Ho  0.211  0.547  0.878
Ho  0.333  0.333  0.333
Ho  0.453  0.122  0.789
Ho  0.547  0.878  0.211
Ho  0.667  0.667  0.667
Ho  0.789  0.453  0.122
Ho  0.878  0.211  0.547
Bi  0.062  0.397  0.728
Bi  0.272  0.938  0.603
Bi  0.397  0.728  0.062
Bi  0.603  0.272  0.938
Bi  0.728  0.062  0.397
Bi  0.938  0.603  0.272

The highest D(E_F) belongs to which entry? number 4

Look up the D(E_F) of the tenth one. 0.80 states/eV per atom